DFT (GGA-PBE) results for a geometry-optimized BeNi2B2 structure.

Cell and atoms, written as CIF:
```
data_BeNi2B2
_symmetry_space_group_name_H-M 'P 1'
_symmetry_Int_Tables_number 1
_cell_length_a 5.347
_cell_length_b 5.347
_cell_length_c 2.794
_cell_angle_alpha 90.00
_cell_angle_beta 90.00
_cell_angle_gamma 90.00
loop_
_symmetry_equiv_pos_as_xyz
'x,y,z'
loop_
_atom_site_label
_atom_site_type_symbol
_atom_site_fract_x
_atom_site_fract_y
_atom_site_fract_z
Be1 Be 0.000 0.000 0.000
Be2 Be 0.500 0.500 0.000
Ni1 Ni 0.178 0.322 0.500
Ni2 Ni 0.322 0.822 0.500
Ni3 Ni 0.678 0.178 0.500
Ni4 Ni 0.822 0.678 0.500
B1 B 0.117 0.617 0.000
B2 B 0.383 0.117 0.000
B3 B 0.617 0.883 0.000
B4 B 0.883 0.383 0.000
```

total DFT energy (no corrections)	-5.980	eV/atom
spin magnetization	0.00	Bohr magnetons per cell